An optimized crystal structure of CrCu2F. Source: Alexandria via LeMat-Bulk, functional PBE with a Hubbard U.

Properties
For the raw total energy, the calculation gives -17.06 eV per cell. The magnetic moment comes out at 1.20 μB/atom. For the density, the calculation gives 5.95 g/cm3.

The structure in POSCAR format:
```
CrCu2F
1.0
0.0000 3.0242 3.0242
3.0242 0.0000 3.0242
3.0242 3.0242 0.0000
F Cu Cr
1 2 1
Direct
0.0000 0.0000 0.0000
0.2500 0.2500 0.2500
0.7500 0.7500 0.7500
0.5000 0.5000 0.5000
```